No. 1
An optimized crystal structure of Sn3IrSe. Source: Alexandria, functional GGA-PBE.

Calculated values
V	24.66	Å³ per atom
size of the total moment	0.00	μB/f.u.
raw total energy	-5.018	eV/atom
excess energy over the best structure of this formula in the dataset	0	meV per atom
ΔE_f (raw)	-147	meV/atom
symmetry	P2_1, No. 4

Structure (POSCAR):
```
Sn3IrSe
1.0
5.340 0.000 0.000
0.000 7.099 0.000
-1.516 0.000 6.505
Sn Ir Se
6 2 2
Cartesian
-0.025 0.000 0.707
-0.020 2.178 2.721
1.155 0.509 5.389
2.669 4.058 1.116
3.844 5.727 3.784
3.849 3.549 5.798
-0.034 4.663 1.774
3.858 1.114 4.731
1.220 4.869 4.094
2.604 1.320 2.411
```

---

No. 2
An optimized crystal structure of SnIrSe2. Source: Alexandria, functional GGA-PBE.

Calculated values
V	27.62	Å³ per atom
size of the total moment	0.00	μB/f.u.
raw total energy	-4.888	eV/atom
ΔE_f (raw)	70	meV/atom
symmetry	I-42d, No. 122

Structure (POSCAR):
```
SnIrSe2
1.0
6.257 0.000 0.000
0.000 6.257 0.000
0.000 0.000 11.286
Sn Ir Se
4 4 8
Cartesian
0.000 0.000 0.000
0.000 3.129 2.821
3.129 0.000 8.464
3.129 3.129 5.643
0.000 0.000 5.643
0.000 3.129 8.464
3.129 0.000 2.821
3.129 3.129 0.000
1.171 1.564 7.054
1.564 4.300 9.875
1.564 5.086 4.232
1.958 1.564 1.411
4.300 4.693 1.411
4.693 1.171 4.232
4.693 1.958 9.875
5.086 4.693 7.054
```

---

No. 3
An optimized crystal structure of SnIr2Se4. Source: Alexandria, functional GGA-PBE.

Calculated values
V	26.25	Å³ per atom
size of the total moment	0.00	μB/f.u.
raw total energy	-4.532	eV/atom
ΔE_f (raw)	563	meV/atom
symmetry	I4/mmm, No. 139

Structure (POSCAR):
```
SnIr2Se4
1.0
5.316 0.000 0.000
0.000 5.316 0.000
0.000 0.000 13.001
Sn Ir Se
2 4 8
Cartesian
0.000 0.000 0.000
2.658 2.658 6.500
0.000 0.000 5.322
0.000 0.000 7.679
2.658 2.658 1.178
2.658 2.658 11.823
0.000 0.000 3.041
0.000 0.000 9.960
0.000 2.658 0.000
0.000 2.658 6.500
2.658 0.000 0.000
2.658 0.000 6.500
2.658 2.658 3.459
2.658 2.658 9.542
```

---

No. 4
An optimized crystal structure of Tc2SnIrSe. Source: Alexandria, functional GGA-PBE.

Calculated values
V	24.93	Å³ per atom
size of the total moment	6.64	μB/f.u.
raw total energy	-5.409	eV/atom
ΔE_f (raw)	2007	meV/atom
symmetry	P4/mmm, No. 123

Structure (POSCAR):
```
Tc2SnIrSe
1.0
5.059 0.000 0.000
0.000 5.059 0.000
0.000 0.000 4.871
Tc Sn Ir Se
2 1 1 1
Cartesian
0.000 2.529 0.000
2.529 0.000 0.000
0.000 0.000 0.000
0.000 0.000 2.436
2.529 2.529 2.436
```

---

No. 5
An optimized crystal structure of Th6SnIr2Se3. Source: Alexandria, functional GGA-PBE.

Calculated values
V	28.08	Å³ per atom
size of the total moment	0.00	μB/f.u.
raw total energy	-7.576	eV/atom
ΔE_f (raw)	-1184	meV/atom
symmetry	C2/m, No. 12

Structure (POSCAR):
```
Th6SnIr2Se3
1.0
9.373 -2.101 0.000
9.373 2.101 0.000
-2.139 0.000 8.557
Th Sn Ir Se
6 1 2 3
Cartesian
-0.356 0.000 2.272
5.177 0.000 3.741
4.232 0.000 7.614
12.376 0.000 0.942
11.431 0.000 4.816
16.964 0.000 6.285
9.373 0.000 0.000
2.468 0.000 2.861
14.140 0.000 5.696
1.183 0.000 7.122
8.304 0.000 4.278
15.425 0.000 1.435
```

---

No. 6
An optimized crystal structure of YSn2IrSe. Source: Alexandria, functional GGA-PBE.

Calculated values
V	33.95	Å³ per atom
size of the total moment	0.00	μB/f.u.
raw total energy	-4.329	eV/atom
ΔE_f (raw)	1034	meV/atom
symmetry	P4/mmm, No. 123

Structure (POSCAR):
```
YSn2IrSe
1.0
5.873 0.000 0.000
0.000 5.873 0.000
0.000 0.000 4.922
Y Sn Ir Se
1 2 1 1
Cartesian
0.000 0.000 0.000
0.000 2.936 0.000
2.936 0.000 0.000
0.000 0.000 2.461
2.936 2.936 2.461
```

---

No. 7
An optimized crystal structure of SrIrSe2. Source: Alexandria, functional GGA-PBE.

Calculated values
V	22.80	Å³ per atom
size of the total moment	0.00	μB/f.u.
raw total energy	-4.825	eV/atom
excess energy over the best structure of this formula in the dataset	353	meV per atom
ΔE_f (raw)	-447	meV/atom
symmetry	Imm2, No. 44

Structure (POSCAR):
```
SrIrSe2
1.0
3.631 0.000 0.000
0.000 3.927 0.000
0.000 0.000 12.791
Sr Ir Se
2 2 4
Cartesian
0.000 0.000 0.000
1.816 1.963 6.396
0.000 1.963 9.592
1.816 0.000 3.196
0.000 0.000 4.923
0.000 1.963 2.357
1.816 0.000 8.752
1.816 1.963 11.318
```

---

No. 8
An optimized crystal structure of SrIrSe2. Source: Alexandria, functional GGA-PBE.

Calculated values
V	24.43	Å³ per atom
size of the total moment	0.00	μB/f.u.
raw total energy	-5.134	eV/atom
excess energy over the best structure of this formula in the dataset	43	meV per atom
ΔE_f (raw)	-756	meV/atom
symmetry	Cmmm, No. 65

Structure (POSCAR):
```
SrIrSe2
1.0
6.345 0.000 0.000
0.000 7.903 0.000
0.000 0.000 3.897
Sr Ir Se
2 2 4
Cartesian
0.000 0.000 0.000
3.173 3.951 0.000
0.000 3.951 0.000
3.173 0.000 0.000
0.000 2.436 1.948
0.000 5.467 1.948
3.173 1.515 1.948
3.173 6.387 1.948
```